Ta2CuTe: relaxed, GGA-PBE.

Cell and atoms, written as POSCAR:
```
Ta2CuTe
1.0
3.454 0.000 0.000
0.000 4.630 0.000
0.000 0.000 8.890
Ta Cu Te
4 2 2
direct
0.000 0.000 0.000 Ta
0.000 0.500 0.246 Ta
0.500 0.000 0.746 Ta
0.500 0.500 0.500 Ta
0.000 0.000 0.499 Cu
0.500 0.500 0.999 Cu
0.000 0.500 0.761 Te
0.500 0.000 0.261 Te
```

## Properties
Electronic total energy: -7.447 eV per atom
Space group: Imm2, No. 44


MgPAu2: relaxed, GGA-PBE.

Cell and atoms, written as POSCAR:
```
MgPAu2
1.0
3.154 0.000 0.000
0.000 4.916 0.000
-0.103 0.000 4.636
Mg P Au
1 1 2
direct
0.000 0.000 0.000 Mg
0.500 0.000 0.500 P
0.261 0.500 0.248 Au
0.739 0.500 0.752 Au
```

## Properties
Formation energy from the elements: -95 meV/atom
Space group: P2/m, No. 10


TaIn2OsSe: relaxed, GGA-PBE.

Cell and atoms, written as POSCAR:
```
TaIn2OsSe
1.0
5.508 0.000 0.000
0.000 5.508 0.000
0.000 0.000 4.729
Ta In Os Se
1 2 1 1
direct
0.000 0.000 0.000 Ta
0.000 0.500 0.000 In
0.500 0.000 0.000 In
0.000 0.000 0.500 Os
0.500 0.500 0.500 Se
```

## Properties
Electronic total energy: -5.135 eV per atom
Space group: P4/mmm, No. 123


Mg7InSn2: relaxed, GGA-PBE.

Cell and atoms, written as POSCAR:
```
Mg7InSn2
1.0
-2.420 2.420 10.638
2.420 -2.420 10.638
2.420 2.420 -10.638
Mg In Sn
7 1 2
direct
0.000 0.000 0.000 Mg
0.090 0.590 0.500 Mg
0.250 0.750 0.500 Mg
0.410 0.910 0.500 Mg
0.590 0.090 0.500 Mg
0.750 0.250 0.500 Mg
0.910 0.410 0.500 Mg
0.500 0.500 0.000 In
0.170 0.170 0.000 Sn
0.830 0.830 0.000 Sn
```

## Properties
Formation energy from the elements: -102 meV/atom
Space group: I4/mmm, No. 139


Ba3NaO: relaxed, GGA-PBE.

Cell and atoms, written as POSCAR:
```
Ba3NaO
1.0
5.763 0.000 0.000
0.000 5.763 0.000
0.000 0.000 5.763
Ba Na O
3 1 1
direct
0.000 0.000 0.500 Ba
0.000 0.500 0.000 Ba
0.500 0.000 0.000 Ba
0.500 0.500 0.500 Na
0.000 0.000 0.000 O
```

## Properties
Electronic total energy: -3.320 eV per atom
Space group: Pm-3m, No. 221


ThCo2GeC: relaxed, GGA-PBE.

Cell and atoms, written as POSCAR:
```
ThCo2GeC
1.0
1.953 -5.478 0.000
1.953 5.478 0.000
0.000 0.000 6.877
Th Co Ge C
2 4 2 2
direct
0.057 0.943 0.750 Th
0.943 0.057 0.250 Th
0.340 0.660 0.555 Co
0.340 0.660 0.945 Co
0.660 0.340 0.055 Co
0.660 0.340 0.445 Co
0.223 0.777 0.250 Ge
0.777 0.223 0.750 Ge
0.500 0.500 0.000 C
0.500 0.500 0.500 C
```

## Properties
Formation energy from the elements: -441 meV/atom
Space group: Cmcm, No. 63


Number 1: V 142.2 Å³ per cell. Number 2: V 71.9 Å³ per cell. Number 3: V 143.5 Å³ per cell. Number 4: V 249.2 Å³ per cell. Number 5: V 191.4 Å³ per cell. Number 6: V 147.1 Å³ per cell.